--- P ---
The following is a PBE-GGA calculation of a geometry-optimized Pa2Co2Pt structure, from Alexandria.

The structure belongs to space group P4/mbm (No. 127); the cell edges are 7.124, 7.124 and 3.482 Å and the angles 90.00°, 90.00° and 90.00°. Symmetry generates all atoms from Pa at (0.177, 0.323, 0.000), Co at (0.131, 0.631, 0.500) and Pt at (0.000, 0.000, 0.500).

The density of states at the Fermi level is 4.44 states/eV/f.u. As for the calculated density: 14.569 g cm⁻³. As for the spin magnetization: 0.00 Bohr magnetons per cell.



--- Q ---
The following is a PBE-GGA calculation of a geometry-optimized Pa2Co2Pt structure, from Alexandria.

The structure belongs to space group Immm (No. 71); the cell edges are 4.244, 5.932 and 6.991 Å and the angles 90.00°, 90.00° and 90.00°. Symmetry generates all atoms from Pa at (0.000, 0.000, 0.208), Co at (0.000, 0.292, 0.500) and Pt at (0.000, 0.500, 0.000).

The density of states at the Fermi level is 4.17 states/eV/f.u. As for the calculated density: 14.625 g cm⁻³. As for the spin magnetization: 0.00 Bohr magnetons per cell.



Structures ranked by computed energy, the most stable listed first: P, Q.



--- P ---
The following is a PBE-GGA calculation of a geometry-optimized PaCo2Pt structure, from Alexandria.

The structure belongs to space group R-3m (No. 166, hexagonal axes); the cell edges are 4.3185, 4.3185 and 11.5114 Å and the angles 90.00°, 90.00° and 120.00°. Symmetry generates all atoms from Pa at (0.0000, 0.0000, 0.0000), Co at (0.0000, 0.0000, 0.2749) and Pt at (0.0000, 0.0000, 0.5000).

The density of states at the Fermi level is 3.61 states/eV/f.u. As for the calculated density: 14.576 g cm⁻³. As for the spin magnetization: 0.00 Bohr magnetons per cell.



--- Q ---
The following is a PBE-GGA calculation of a geometry-optimized PaCo2Pt structure, from Alexandria.

The structure belongs to space group P4/mmm (No. 123); the cell edges are 4.046, 4.046 and 3.736 Å and the angles 90.00°, 90.00° and 90.00°. Symmetry generates all atoms from Pa at (0.000, 0.000, 0.000), Co at (0.000, 0.500, 0.500) and Pt at (0.500, 0.500, 0.000).

The density of states at the Fermi level is 2.55 states/eV/f.u. As for the calculated density: 14.768 g cm⁻³. As for the spin magnetization: 0.59 Bohr magnetons per cell.



Structures ranked by computed energy, the most stable listed first: Q, P.